No. 1
Material: LiPmGaIr
Method: DFT, PBE
State: relaxed

Its formation enthalpy at 0 K is -0.463 eV/atom. The value obtained for the magnetization is 0.000 μB/cell.

a = 6.647 Å, b = 6.647 Å, c = 6.647 Å
α = 90.00°, β = 90.00°, γ = 90.00°
Space group F-43m (No. 216)
Unique sites:
Li: 0.000 0.000 0.000 x4
Pm: 0.250 0.250 0.250 x4
Ga: 0.250 0.250 0.750 x4
Ir: 0.000 0.000 0.500 x4

No. 2
Material: SnBi2Pt3
Method: DFT, PBE
State: relaxed

Its formation enthalpy at 0 K is -0.377 eV/atom. The value obtained for the magnetization is 0.000 μB/cell.

a = 13.051 Å, b = 7.486 Å, c = 5.586 Å
α = 90.00°, β = 90.00°, γ = 90.00°
Space group Cmcm (No. 63)
Unique sites:
Sn: 0.000 0.172 0.250 x4
Bi: 0.169 0.336 0.750 x8
Pt: 0.000 0.500 0.000 x4
Pt: 0.154 0.000 0.000 x8

No. 3
Material: Cr4TcAu
Method: DFT, PBE
State: relaxed

Its formation enthalpy at 0 K is 0.126 eV/atom. The value obtained for the magnetization is 0.000 μB/cell.

a = 6.784 Å, b = 6.784 Å, c = 6.784 Å
α = 90.00°, β = 90.00°, γ = 90.00°
Space group F-43m (No. 216)
Unique sites:
Cr: 0.124 0.124 0.376 x16
Tc: 0.000 0.000 0.000 x4
Au: 0.250 0.250 0.750 x4

No. 4
Material: Ac3SN2
Method: DFT, PBE
State: relaxed

For the formation energy from raw total energies, the calculation gives -1.361 eV/atom. The value obtained for the magnetization is 0.000 μB/cell.

a = 3.966 Å, b = 5.851 Å, c = 12.231 Å
α = 90.00°, β = 90.00°, γ = 90.00°
Space group Immm (No. 71)
Unique sites:
Ac: 0.000 0.000 0.000 x2
Ac: 0.000 0.000 0.311 x4
S: 0.000 0.500 0.000 x2
N: 0.000 0.500 0.332 x4

No. 5
Material: Rb2CuSnPb
Method: DFT, PBE
State: relaxed

Its formation enthalpy at 0 K is 0.287 eV/atom. The value obtained for the magnetization is 0.000 μB/cell.

a = 6.339 Å, b = 6.339 Å, c = 5.021 Å
α = 90.00°, β = 90.00°, γ = 90.00°
Space group P4/mmm (No. 123)
Unique sites:
Rb: 0.000 0.500 0.000 x2
Cu: 0.000 0.000 0.000 x1
Sn: 0.500 0.500 0.500 x1
Pb: 0.000 0.000 0.500 x1

No. 6
Material: Dy12Er5Hg2
Method: DFT, PBE
State: relaxed

Its formation enthalpy at 0 K is 0.011 eV/atom. The value obtained for the magnetization is 0.000 μB/cell.

a = 15.504 Å, b = 9.178 Å, c = 8.259 Å
α = 90.00°, β = 93.65°, γ = 90.00°
Space group C2/m (No. 12)
Unique sites:
Dy: 0.050 0.000 0.269 x4
Dy: 0.096 0.500 0.890 x4
Dy: 0.115 0.193 0.627 x8
Dy: 0.163 0.315 0.240 x8
Er: 0.000 0.500 0.500 x2
Er: 0.181 0.000 0.978 x4
Er: 0.239 0.500 0.595 x4
Hg: 0.000 0.221 0.000 x4

No. 7
Material: Ba2MoC2N6
Method: DFT, PBE
State: relaxed

For the formation energy from raw total energies, the calculation gives -0.334 eV/atom. The value obtained for the magnetization is 0.000 μB/cell.

a = 5.3017 Å, b = 5.3017 Å, c = 17.5177 Å
α = 90.00°, β = 90.00°, γ = 120.00°
Space group R-3m (No. 166, hexagonal axes)
Unique sites:
Ba: 0.0000 0.0000 0.2190 x6
Mo: 0.0000 0.0000 0.0000 x3
C: 0.0000 0.0000 0.3990 x6
N: 0.0350 0.5175 0.2663 x18

No. 8
Material: Pm4CS3
Method: DFT, PBE
State: relaxed

For the formation energy from raw total energies, the calculation gives -1.628 eV/atom. The value obtained for the magnetization is 0.000 μB/cell.

a = 8.051 Å, b = 11.261 Å, c = 3.929 Å
α = 90.00°, β = 90.00°, γ = 90.00°
Space group Cmmm (No. 65)
Unique sites:
Pm: 0.000 0.233 0.000 x4
Pm: 0.222 0.000 0.500 x4
C: 0.000 0.000 0.000 x2
S: 0.000 0.500 0.000 x2
S: 0.250 0.250 0.500 x4

No. 9
Material: KCaCl2
Method: DFT, PBE
State: relaxed

For the formation energy from raw total energies, the calculation gives -1.384 eV/atom. The value obtained for the magnetization is 2.430 μB/cell.

a = 7.587 Å, b = 7.587 Å, c = 7.587 Å
α = 90.00°, β = 90.00°, γ = 90.00°
Space group Fm-3m (No. 225)
Unique sites:
K: 0.000 0.000 0.000 x4
Ca: 0.000 0.000 0.500 x4
Cl: 0.250 0.250 0.250 x8

No. 10
Material: Sm3Si2Rh5
Method: DFT, PBE
State: relaxed

For the formation energy from raw total energies, the calculation gives -0.916 eV/atom. The value obtained for the magnetization is 0.000 μB/cell.

a = 10.122 Å, b = 10.122 Å, c = 3.586 Å
α = 90.00°, β = 90.00°, γ = 90.00°
Space group P4/mbm (No. 127)
Unique sites:
Sm: 0.000 0.000 0.000 x2
Sm: 0.174 0.326 0.000 x4
Si: 0.121 0.621 0.000 x4
Rh: 0.000 0.500 0.500 x2
Rh: 0.070 0.774 0.500 x8

No. 11
Material: DyHfTl2
Method: DFT, PBE
State: relaxed

Its formation enthalpy at 0 K is -0.030 eV/atom. The value obtained for the magnetization is 0.001 μB/cell.

a = 4.786 Å, b = 4.786 Å, c = 4.319 Å
α = 90.00°, β = 90.00°, γ = 90.00°
Space group P4/mmm (No. 123)
Unique sites:
Dy: 0.000 0.000 0.000 x1
Hf: 0.500 0.500 0.000 x1
Tl: 0.000 0.500 0.500 x2

No. 12
Material: BaNaIn2
Method: DFT, PBE
State: relaxed

Its formation enthalpy at 0 K is -0.237 eV/atom. The value obtained for the magnetization is 0.000 μB/cell.

a = 8.095 Å, b = 8.095 Å, c = 8.095 Å
α = 90.00°, β = 90.00°, γ = 90.00°
Space group Fm-3m (No. 225)
Unique sites:
Ba: 0.000 0.000 0.000 x4
Na: 0.000 0.000 0.500 x4
In: 0.250 0.250 0.250 x8